The following is a PBE-GGA calculation of VAs3N after structural relaxation, from Alexandria.

Formation energy from raw total energies in eV per atom: 0.71
Total magnetic moment in Bohr magnetons per cell: 2.454
Crystal system: cubic

Structure (CIF):
```
data_VAs3N
_chemical_formula_sum 'V1 As3 N1'
_symmetry_space_group_name_H-M 'P m -3 m'
_symmetry_Int_Tables_number 221
_symmetry_space_group_name_Hall '-P 4 2 3'
_cell_length_a 4.281
_cell_length_b 4.281
_cell_length_c 4.281
_cell_angle_alpha 90.00
_cell_angle_beta 90.00
_cell_angle_gamma 90.00
loop_
_atom_site_label
_atom_site_type_symbol
_atom_site_fract_x
_atom_site_fract_y
_atom_site_fract_z
_atom_site_occupancy
V1 V 0.000 0.000 0.000 1
As1 As 0.000 0.500 0.500 1
N1 N 0.500 0.500 0.500 1
```